Material: AcYPS
Method: DFT, PBE
State: optimized geometry

## Properties
Formation energy from raw total energies in eV/atom: -1.807
Space group: R3m, No. 160
D(E_F) in states/eV per cell: 1.83
Calculated total energy in eV per formula unit: -27.3

Unit cell a=4.1586 b=4.1586 c=7.2913 alpha=73.43 beta=73.43 gamma=60.00
Closest atoms and distances in Å follow each position.
Element x y z (fractional)
Ac: 0.2526 0.2526 0.2421  3 P 3.03, 3 S 3.09
S: 0.4917 0.4917 0.5248  3 Y 2.89, 3 Ac 3.09
P: 0.0084 0.0084 0.9747  3 Y 2.83, 3 Ac 3.03
Y: 0.7472 0.7472 0.7584  3 P 2.83, 3 S 2.89